A relaxed Sn2TeAu2 crystal, computed with PBE-GGA.

Values from the calculation:
Calculated volume in Å³/cell: 258
Fermi-level density of states in states/eV/f.u.: 2.08
Total DFT energy (no corrections) in eV per atom: -3.509
M_tot in μB/cell: 0.00
Relative energy among the computed polymorphs in eV per formula unit: 0.46
Raw formation energy in eV/f.u.: 0.2

Cell: 4.6441 4.6441 11.9616 Å, 90.00 90.00 90.00°
With the nearest neighbours (Å) after each atom.
Fractional positions:
Sn (0.0000, 0.5000, 0.2500)  4 Au 2.84
Sn (0.0000, 0.5000, 0.7500)  4 Au 2.84
Sn (0.5000, 0.0000, 0.2500)  4 Au 2.84
Sn (0.5000, 0.0000, 0.7500)  4 Au 2.84
Te (0.0000, 0.0000, 0.0000)  8 Au 3.55, 8 Sn 3.79
Te (0.5000, 0.5000, 0.5000)  8 Au 3.55, 8 Sn 3.79
Au (0.0000, 0.0000, 0.3871)  1 Au 2.70, 4 Sn 2.84
Au (0.0000, 0.0000, 0.6129)  1 Au 2.70, 4 Sn 2.84
Au (0.5000, 0.5000, 0.1129)  1 Au 2.70, 4 Sn 2.84
Au (0.5000, 0.5000, 0.8871)  1 Au 2.70, 4 Sn 2.84

A relaxed Sn12Te3Au5 crystal, computed with PBE-GGA.

Values from the calculation:
Calculated volume in Å³/cell: 2479
Fermi-level density of states in states/eV/f.u.: 11.76
Total DFT energy (no corrections) in eV per atom: -3.633
M_tot in μB/cell: 0.00
Raw formation energy in eV/f.u.: 1.2

Cell: 14.7680 14.7680 14.7680 Å, 109.47 109.47 109.47°
With the nearest neighbours (Å) after each atom.
Fractional positions:
Sn (0.0394, 0.2145, 0.1123)  2 Au 2.70-2.78
Sn (0.0394, 0.3248, 0.9270)  2 Au 2.70-2.78
Sn (0.0730, 0.6123, 0.3978)  2 Au 2.70-2.78
Sn (0.0730, 0.9606, 0.6752)  2 Au 2.70-2.78
Sn (0.1022, 0.7145, 0.6752)  2 Au 2.70-2.78
Sn (0.1022, 0.8877, 0.4270)  2 Au 2.70-2.78
Sn (0.1123, 0.0394, 0.2145)  2 Au 2.70-2.78
Sn (0.1123, 0.5730, 0.8978)  2 Au 2.70-2.78
Sn (0.1752, 0.2145, 0.6022)  2 Au 2.70-2.78
Sn (0.1752, 0.4606, 0.5730)  2 Au 2.70-2.78
Sn (0.2145, 0.1123, 0.0394)  2 Au 2.70-2.78
Sn (0.2145, 0.6022, 0.1752)  2 Au 2.70-2.78
Sn (0.2855, 0.3248, 0.8978)  2 Au 2.70-2.78
Sn (0.2855, 0.4606, 0.3877)  2 Au 2.70-2.78
Sn (0.3248, 0.8978, 0.2855)  2 Au 2.70-2.78
Sn (0.3248, 0.9270, 0.0394)  2 Au 2.70-2.78
Sn (0.3877, 0.2855, 0.4606)  2 Au 2.70-2.78
Sn (0.3877, 0.6022, 0.9270)  2 Au 2.70-2.78
Sn (0.3978, 0.0730, 0.6123)  2 Au 2.70-2.78
Sn (0.3978, 0.8248, 0.7855)  2 Au 2.70-2.78
Sn (0.4270, 0.1022, 0.8877)  2 Au 2.70-2.78
Sn (0.4270, 0.8248, 0.5394)  2 Au 2.70-2.78
Sn (0.4606, 0.3877, 0.2855)  2 Au 2.70-2.78
Sn (0.4606, 0.5730, 0.1752)  2 Au 2.70-2.78
Sn (0.5394, 0.4270, 0.8248)  2 Au 2.70-2.78
Sn (0.5394, 0.6123, 0.7145)  2 Au 2.70-2.78
Sn (0.5730, 0.1752, 0.4606)  2 Au 2.70-2.78
Sn (0.5730, 0.8978, 0.1123)  2 Au 2.70-2.78
Sn (0.6022, 0.1752, 0.2145)  2 Au 2.70-2.78
Sn (0.6022, 0.9270, 0.3877)  2 Au 2.70-2.78
Sn (0.6123, 0.3978, 0.0730)  2 Au 2.70-2.78
Sn (0.6123, 0.7145, 0.5394)  2 Au 2.70-2.78
Sn (0.6752, 0.0730, 0.9606)  2 Au 2.70-2.78
Sn (0.6752, 0.1022, 0.7145)  2 Au 2.70-2.78
Sn (0.7145, 0.5394, 0.6123)  2 Au 2.70-2.78
Sn (0.7145, 0.6752, 0.1022)  2 Au 2.70-2.78
Sn (0.7855, 0.3978, 0.8248)  2 Au 2.70-2.78
Sn (0.7855, 0.8877, 0.9606)  2 Au 2.70-2.78
Sn (0.8248, 0.5394, 0.4270)  2 Au 2.70-2.78
Sn (0.8248, 0.7855, 0.3978)  2 Au 2.70-2.78
Sn (0.8877, 0.4270, 0.1022)  2 Au 2.70-2.78
Sn (0.8877, 0.9606, 0.7855)  2 Au 2.70-2.78
Sn (0.8978, 0.1123, 0.5730)  2 Au 2.70-2.78
Sn (0.8978, 0.2855, 0.3248)  2 Au 2.70-2.78
Sn (0.9270, 0.0394, 0.3248)  2 Au 2.70-2.78
Sn (0.9270, 0.3877, 0.6022)  2 Au 2.70-2.78
Sn (0.9606, 0.6752, 0.0730)  2 Au 2.70-2.78
Sn (0.9606, 0.7855, 0.8877)  2 Au 2.70-2.78
Te (0.1250, 0.2500, 0.3750)  8 Sn 3.12-3.44
Te (0.1250, 0.3750, 0.7500)  8 Sn 3.12-3.44
Te (0.2500, 0.3750, 0.1250)  8 Sn 3.12-3.44
Te (0.2500, 0.8750, 0.6250)  8 Sn 3.12-3.44
Te (0.3750, 0.1250, 0.2500)  8 Sn 3.12-3.44
Te (0.3750, 0.7500, 0.1250)  8 Sn 3.12-3.44
Te (0.6250, 0.2500, 0.8750)  8 Sn 3.12-3.44
Te (0.6250, 0.8750, 0.7500)  8 Sn 3.12-3.44
Te (0.7500, 0.1250, 0.3750)  8 Sn 3.12-3.44
Te (0.7500, 0.6250, 0.8750)  8 Sn 3.12-3.44
Te (0.8750, 0.6250, 0.2500)  8 Sn 3.12-3.44
Te (0.8750, 0.7500, 0.6250)  8 Sn 3.12-3.44
Au (0.0000, 0.0000, 0.0000)  6 Sn 2.78
Au (0.0000, 0.0000, 0.5000)  6 Sn 2.78
Au (0.0000, 0.5000, 0.0000)  6 Sn 2.78
Au (0.0000, 0.5000, 0.5000)  6 Sn 2.78
Au (0.1250, 0.7500, 0.8750)  4 Sn 2.70
Au (0.1250, 0.8750, 0.2500)  4 Sn 2.70
Au (0.2500, 0.1250, 0.8750)  4 Sn 2.70
Au (0.2500, 0.6250, 0.3750)  4 Sn 2.70
Au (0.3750, 0.2500, 0.6250)  4 Sn 2.70
Au (0.3750, 0.6250, 0.7500)  4 Sn 2.70
Au (0.5000, 0.0000, 0.0000)  6 Sn 2.78
Au (0.5000, 0.0000, 0.5000)  6 Sn 2.78
Au (0.5000, 0.5000, 0.0000)  6 Sn 2.78
Au (0.5000, 0.5000, 0.5000)  6 Sn 2.78
Au (0.6250, 0.3750, 0.2500)  4 Sn 2.70
Au (0.6250, 0.7500, 0.3750)  4 Sn 2.70
Au (0.7500, 0.3750, 0.6250)  4 Sn 2.70
Au (0.7500, 0.8750, 0.1250)  4 Sn 2.70
Au (0.8750, 0.1250, 0.7500)  4 Sn 2.70
Au (0.8750, 0.2500, 0.1250)  4 Sn 2.70

A relaxed Sn5Te3Au12 crystal, computed with PBE-GGA.

Values from the calculation:
Calculated volume in Å³/cell: 2131
Fermi-level density of states in states/eV/f.u.: 12.09
Total DFT energy (no corrections) in eV per atom: -3.359
M_tot in μB/cell: 0.00
Raw formation energy in eV/f.u.: 1.6

Cell: 14.0417 14.0417 14.0417 Å, 109.47 109.47 109.47°
With the nearest neighbours (Å) after each atom.
Fractional positions:
Sn (0.0000, 0.0000, 0.0000)  6 Au 2.78
Sn (0.0000, 0.0000, 0.5000)  6 Au 2.78
Sn (0.0000, 0.5000, 0.0000)  6 Au 2.78
Sn (0.0000, 0.5000, 0.5000)  6 Au 2.78
Sn (0.1250, 0.7500, 0.8750)  4 Au 2.70
Sn (0.1250, 0.8750, 0.2500)  4 Au 2.70
Sn (0.2500, 0.1250, 0.8750)  4 Au 2.70
Sn (0.2500, 0.6250, 0.3750)  4 Au 2.70
Sn (0.3750, 0.2500, 0.6250)  4 Au 2.70
Sn (0.3750, 0.6250, 0.7500)  4 Au 2.70
Sn (0.5000, 0.0000, 0.0000)  6 Au 2.78
Sn (0.5000, 0.0000, 0.5000)  6 Au 2.78
Sn (0.5000, 0.5000, 0.0000)  6 Au 2.78
Sn (0.5000, 0.5000, 0.5000)  6 Au 2.78
Sn (0.6250, 0.3750, 0.2500)  4 Au 2.70
Sn (0.6250, 0.7500, 0.3750)  4 Au 2.70
Sn (0.7500, 0.3750, 0.6250)  4 Au 2.70
Sn (0.7500, 0.8750, 0.1250)  4 Au 2.70
Sn (0.8750, 0.1250, 0.7500)  4 Au 2.70
Sn (0.8750, 0.2500, 0.1250)  4 Au 2.70
Te (0.1250, 0.2500, 0.3750)  8 Au 2.86-3.01
Te (0.1250, 0.3750, 0.7500)  8 Au 2.86-3.01
Te (0.2500, 0.3750, 0.1250)  8 Au 2.86-3.01
Te (0.2500, 0.8750, 0.6250)  8 Au 2.86-3.01
Te (0.3750, 0.1250, 0.2500)  8 Au 2.86-3.01
Te (0.3750, 0.7500, 0.1250)  8 Au 2.86-3.01
Te (0.6250, 0.2500, 0.8750)  8 Au 2.86-3.01
Te (0.6250, 0.8750, 0.7500)  8 Au 2.86-3.01
Te (0.7500, 0.1250, 0.3750)  8 Au 2.86-3.01
Te (0.7500, 0.6250, 0.8750)  8 Au 2.86-3.01
Te (0.8750, 0.6250, 0.2500)  8 Au 2.86-3.01
Te (0.8750, 0.7500, 0.6250)  8 Au 2.86-3.01
Au (0.0630, 0.2295, 0.1397)  2 Sn 2.70-2.78, 2 Te 2.86-3.01, 1 Au 2.98
Au (0.0630, 0.3335, 0.9233)  2 Sn 2.70-2.78, 2 Te 2.86-3.01, 1 Au 2.98
Au (0.0767, 0.6397, 0.4102)  2 Sn 2.70-2.78, 2 Te 2.86-3.01, 1 Au 2.98
Au (0.0767, 0.9370, 0.6665)  2 Sn 2.70-2.78, 2 Te 2.86-3.01, 1 Au 2.98
Au (0.0898, 0.7295, 0.6665)  2 Sn 2.70-2.78, 2 Te 2.86-3.01, 1 Au 2.98
Au (0.0898, 0.8603, 0.4233)  2 Sn 2.70-2.78, 2 Te 2.86-3.01, 1 Au 2.98
Au (0.1397, 0.0630, 0.2295)  2 Sn 2.70-2.78, 2 Te 2.86-3.01, 1 Au 2.98
Au (0.1397, 0.5767, 0.9102)  2 Sn 2.70-2.78, 2 Te 2.86-3.01, 1 Au 2.98
Au (0.1665, 0.2295, 0.5898)  2 Sn 2.70-2.78, 2 Te 2.86-3.01, 1 Au 2.98
Au (0.1665, 0.4370, 0.5767)  2 Sn 2.70-2.78, 2 Te 2.86-3.01, 1 Au 2.98
Au (0.2295, 0.1397, 0.0630)  2 Sn 2.70-2.78, 2 Te 2.86-3.01, 1 Au 2.98
Au (0.2295, 0.5898, 0.1665)  2 Sn 2.70-2.78, 2 Te 2.86-3.01, 1 Au 2.98
Au (0.2705, 0.3335, 0.9102)  2 Sn 2.70-2.78, 2 Te 2.86-3.01, 1 Au 2.98
Au (0.2705, 0.4370, 0.3603)  2 Sn 2.70-2.78, 2 Te 2.86-3.01, 1 Au 2.98
Au (0.3335, 0.9102, 0.2705)  2 Sn 2.70-2.78, 2 Te 2.86-3.01, 1 Au 2.98
Au (0.3335, 0.9233, 0.0630)  2 Sn 2.70-2.78, 2 Te 2.86-3.01, 1 Au 2.98
Au (0.3603, 0.2705, 0.4370)  2 Sn 2.70-2.78, 2 Te 2.86-3.01, 1 Au 2.98
Au (0.3603, 0.5898, 0.9233)  2 Sn 2.70-2.78, 2 Te 2.86-3.01, 1 Au 2.98
Au (0.4102, 0.0767, 0.6397)  2 Sn 2.70-2.78, 2 Te 2.86-3.01, 1 Au 2.98
Au (0.4102, 0.8335, 0.7705)  2 Sn 2.70-2.78, 2 Te 2.86-3.01, 1 Au 2.98
Au (0.4233, 0.0898, 0.8603)  2 Sn 2.70-2.78, 2 Te 2.86-3.01, 1 Au 2.98
Au (0.4233, 0.8335, 0.5630)  2 Sn 2.70-2.78, 2 Te 2.86-3.01, 1 Au 2.98
Au (0.4370, 0.3603, 0.2705)  2 Sn 2.70-2.78, 2 Te 2.86-3.01, 1 Au 2.98
Au (0.4370, 0.5767, 0.1665)  2 Sn 2.70-2.78, 2 Te 2.86-3.01, 1 Au 2.98
Au (0.5630, 0.4233, 0.8335)  2 Sn 2.70-2.78, 2 Te 2.86-3.01, 1 Au 2.98
Au (0.5630, 0.6397, 0.7295)  2 Sn 2.70-2.78, 2 Te 2.86-3.01, 1 Au 2.98
Au (0.5767, 0.1665, 0.4370)  2 Sn 2.70-2.78, 2 Te 2.86-3.01, 1 Au 2.98
Au (0.5767, 0.9102, 0.1397)  2 Sn 2.70-2.78, 2 Te 2.86-3.01, 1 Au 2.98
Au (0.5898, 0.1665, 0.2295)  2 Sn 2.70-2.78, 2 Te 2.86-3.01, 1 Au 2.98
Au (0.5898, 0.9233, 0.3603)  2 Sn 2.70-2.78, 2 Te 2.86-3.01, 1 Au 2.98
Au (0.6397, 0.4102, 0.0767)  2 Sn 2.70-2.78, 2 Te 2.86-3.01, 1 Au 2.98
Au (0.6397, 0.7295, 0.5630)  2 Sn 2.70-2.78, 2 Te 2.86-3.01, 1 Au 2.98
Au (0.6665, 0.0767, 0.9370)  2 Sn 2.70-2.78, 2 Te 2.86-3.01, 1 Au 2.98
Au (0.6665, 0.0898, 0.7295)  2 Sn 2.70-2.78, 2 Te 2.86-3.01, 1 Au 2.98
Au (0.7295, 0.5630, 0.6397)  2 Sn 2.70-2.78, 2 Te 2.86-3.01, 1 Au 2.98
Au (0.7295, 0.6665, 0.0898)  2 Sn 2.70-2.78, 2 Te 2.86-3.01, 1 Au 2.98
Au (0.7705, 0.4102, 0.8335)  2 Sn 2.70-2.78, 2 Te 2.86-3.01, 1 Au 2.98
Au (0.7705, 0.8603, 0.9370)  2 Sn 2.70-2.78, 2 Te 2.86-3.01, 1 Au 2.98
Au (0.8335, 0.5630, 0.4233)  2 Sn 2.70-2.78, 2 Te 2.86-3.01, 1 Au 2.98
Au (0.8335, 0.7705, 0.4102)  2 Sn 2.70-2.78, 2 Te 2.86-3.01, 1 Au 2.98
Au (0.8603, 0.4233, 0.0898)  2 Sn 2.70-2.78, 2 Te 2.86-3.01, 1 Au 2.98
Au (0.8603, 0.9370, 0.7705)  2 Sn 2.70-2.78, 2 Te 2.86-3.01, 1 Au 2.98
Au (0.9102, 0.1397, 0.5767)  2 Sn 2.70-2.78, 2 Te 2.86-3.01, 1 Au 2.98
Au (0.9102, 0.2705, 0.3335)  2 Sn 2.70-2.78, 2 Te 2.86-3.01, 1 Au 2.98
Au (0.9233, 0.0630, 0.3335)  2 Sn 2.70-2.78, 2 Te 2.86-3.01, 1 Au 2.98
Au (0.9233, 0.3603, 0.5898)  2 Sn 2.70-2.78, 2 Te 2.86-3.01, 1 Au 2.98
Au (0.9370, 0.6665, 0.0767)  2 Sn 2.70-2.78, 2 Te 2.86-3.01, 1 Au 2.98
Au (0.9370, 0.7705, 0.8603)  2 Sn 2.70-2.78, 2 Te 2.86-3.01, 1 Au 2.98